A relaxed structure of Tb5CeY3, computed with PBE-GGA.

```
data_Tb5CeY3
_chemical_formula_sum 'Tb20 Ce4 Y12'
_symmetry_space_group_name_H-M 'I 4/m c m'
_symmetry_Int_Tables_number 140
_symmetry_space_group_name_Hall '-I 4 2c'
_cell_length_a 8.567
_cell_length_b 8.567
_cell_length_c 15.692
_cell_angle_alpha 90.00
_cell_angle_beta 90.00
_cell_angle_gamma 90.00
loop_
_atom_site_label
_atom_site_fract_x
_atom_site_fract_y
_atom_site_fract_z
Tb1 0.000 0.000 0.000
Tb2 0.194 0.306 0.142
Ce1 0.000 0.500 0.250
Y1 0.000 0.000 0.250
Y2 0.125 0.375 0.500
```

Results
Energy of formation = 28 kJ per mole of atoms
V = 1151.6 Å³/cell
N(E_F) = 64.327 states/eV per cell

A relaxed structure of Pa2Os, computed with PBE-GGA.

```
data_Pa2Os
_chemical_formula_sum 'Pa4 Os2'
_symmetry_space_group_name_H-M 'I 4/m m m'
_symmetry_Int_Tables_number 139
_symmetry_space_group_name_Hall '-I 4 2'
_cell_length_a 3.660
_cell_length_b 3.660
_cell_length_c 9.479
_cell_angle_alpha 90.00
_cell_angle_beta 90.00
_cell_angle_gamma 90.00
loop_
_atom_site_label
_atom_site_fract_x
_atom_site_fract_y
_atom_site_fract_z
Pa1 0.000 0.000 0.157
Os1 0.000 0.000 0.500
```

Results
Energy of formation = -19 kJ per mole of atoms
V = 127.0 Å³/cell
N(E_F) = 10.271 states/eV per cell

A relaxed structure of Ca5TlGa2, computed with PBE-GGA.

```
data_Ca5TlGa2
_chemical_formula_sum 'Ca20 Tl4 Ga8'
_symmetry_space_group_name_H-M 'I 4/m c m'
_symmetry_Int_Tables_number 140
_symmetry_space_group_name_Hall '-I 4 2c'
_cell_length_a 8.072
_cell_length_b 8.072
_cell_length_c 15.004
_cell_angle_alpha 90.00
_cell_angle_beta 90.00
_cell_angle_gamma 90.00
loop_
_atom_site_label
_atom_site_fract_x
_atom_site_fract_y
_atom_site_fract_z
Ca1 0.000 0.000 0.000
Ca2 0.176 0.324 0.141
Tl1 0.000 0.000 0.250
Ga1 0.111 0.389 0.500
```

Results
Energy of formation = -38 kJ per mole of atoms
V = 977.6 Å³/cell
N(E_F) = 27.822 states/eV per cell

A relaxed structure of FeTc2Br, computed with PBE-GGA.

```
data_FeTc2Br
_chemical_formula_sum 'Fe1 Tc2 Br1'
_symmetry_space_group_name_H-M 'P m m m'
_symmetry_Int_Tables_number 47
_symmetry_space_group_name_Hall '-P 2 2'
_cell_length_a 3.045
_cell_length_b 3.150
_cell_length_c 6.960
_cell_angle_alpha 90.00
_cell_angle_beta 90.00
_cell_angle_gamma 90.00
loop_
_atom_site_label
_atom_site_fract_x
_atom_site_fract_y
_atom_site_fract_z
Fe1 0.000 0.000 0.000
Tc1 0.500 0.500 0.183
Br1 0.500 0.000 0.500
```

Results
ΔE_f (raw) = 0.497 eV/atom
V = 66.8 Å³/cell
N(E_F) = 2.941 states/eV per cell